Crystalline LiDyGaCu at its relaxed geometry, computed with PBE.

The value obtained for the total magnetic moment is 0.00 μB/cell. Its energy of formation from the pure elements is -0.38 eV/atom.

The structure belongs to space group F-43m (No. 216); the cell edges are 6.458, 6.458 and 6.458 Å and the angles 90.00°, 90.00° and 90.00°. Symmetry generates all atoms from Li at (0.000, 0.000, 0.000), Dy at (0.250, 0.250, 0.250), Ga at (0.250, 0.250, 0.750) and Cu at (0.000, 0.000, 0.500).